Record 1
# CuAgBi, optimized geometry, DFT PBE
# **Size of the total moment**: 0.00 μB per cell
# **Final energy**: -10.1 eV per cell
# **Density of states at the Fermi level**: 0.91 states/eV per cell
# **SG**: P3m1, No. 156
# **E above lowest polymorph**: 128 meV/atom
# **DFT formation energy**: 0.24 eV per atom
data_CuAgBi
_chemical_formula_sum 'Cu1 Ag1 Bi1'
_space_group_name_H-M_alt 'P 1'
_space_group_IT_number 1
_space_group_name_Hall 'P 1'
_cell_length_a 3.4190
_cell_length_b 4.5950
_cell_length_c 4.5950
_cell_angle_alpha 120.00
_cell_angle_beta 90.00
_cell_angle_gamma 90.00
loop_
_atom_site_label
_atom_site_type_symbol
_atom_site_fract_x
_atom_site_fract_y
_atom_site_fract_z
_atom_site_occupancy
Cu1 Cu 0.1627 0.3333 0.6667 1
Bi1 Bi 0.6682 0.6667 0.3333 1
Ag1 Ag 0.1691 0.0000 0.0000 1


Record 2
# CuAgBi, optimized geometry, DFT PBE
# **Size of the total moment**: 0.00 μB per cell
# **Final energy**: -21.0 eV per cell
# **Density of states at the Fermi level**: 2.31 states/eV per cell
# **SG**: P4/nmm, No. 129
# **E above lowest polymorph**: 0 meV/atom
# **DFT formation energy**: 0.11 eV per atom
data_CuAgBi
_chemical_formula_sum 'Cu2 Ag2 Bi2'
_space_group_name_H-M_alt 'P 1'
_space_group_IT_number 1
_space_group_name_Hall 'P 1'
_cell_length_a 4.3556
_cell_length_b 4.3556
_cell_length_c 6.5941
_cell_angle_alpha 90.00
_cell_angle_beta 90.00
_cell_angle_gamma 90.00
loop_
_atom_site_label
_atom_site_type_symbol
_atom_site_fract_x
_atom_site_fract_y
_atom_site_fract_z
_atom_site_occupancy
Cu1 Cu 0.0000 0.0000 0.5000 1
Cu2 Cu 0.5000 0.5000 0.5000 1
Bi1 Bi 0.0000 0.5000 0.2069 1
Bi2 Bi 0.5000 0.0000 0.7931 1
Ag1 Ag 0.0000 0.5000 0.7460 1
Ag2 Ag 0.5000 0.0000 0.2540 1


Record 3
# CuAgBi3, optimized geometry, DFT PBE
# **Size of the total moment**: 0.00 μB per cell
# **Final energy**: -16.1 eV per cell
# **Density of states at the Fermi level**: 3.10 states/eV per cell
# **SG**: Pm-3m, No. 221
# **E above lowest polymorph**: 0 meV/atom
# **DFT formation energy**: 0.49 eV per atom
data_CuAgBi3
_chemical_formula_sum 'Cu1 Ag1 Bi3'
_space_group_name_H-M_alt 'P 1'
_space_group_IT_number 1
_space_group_name_Hall 'P 1'
_cell_length_a 5.2685
_cell_length_b 5.2685
_cell_length_c 5.2685
_cell_angle_alpha 90.00
_cell_angle_beta 90.00
_cell_angle_gamma 90.00
loop_
_atom_site_label
_atom_site_type_symbol
_atom_site_fract_x
_atom_site_fract_y
_atom_site_fract_z
_atom_site_occupancy
Cu1 Cu 0.0000 0.0000 0.0000 1
Bi1 Bi 0.0000 0.5000 0.0000 1
Bi2 Bi 0.0000 0.0000 0.5000 1
Bi3 Bi 0.5000 0.0000 0.0000 1
Ag1 Ag 0.5000 0.5000 0.5000 1


Record 4
# Cu2AgBi2, optimized geometry, DFT PBE
# **Size of the total moment**: 0.00 μB per cell
# **Final energy**: -34.5 eV per cell
# **Density of states at the Fermi level**: 3.59 states/eV per cell
# **SG**: P4/mbm, No. 127
# **E above lowest polymorph**: 134 meV/atom
# **DFT formation energy**: 0.31 eV per atom
data_Cu2AgBi2
_chemical_formula_sum 'Cu4 Ag2 Bi4'
_space_group_name_H-M_alt 'P 1'
_space_group_IT_number 1
_space_group_name_Hall 'P 1'
_cell_length_a 8.0204
_cell_length_b 8.0204
_cell_length_c 3.4555
_cell_angle_alpha 90.00
_cell_angle_beta 90.00
_cell_angle_gamma 90.00
loop_
_atom_site_label
_atom_site_type_symbol
_atom_site_fract_x
_atom_site_fract_y
_atom_site_fract_z
_atom_site_occupancy
Cu1 Cu 0.1108 0.6108 0.5000 1
Cu2 Cu 0.6108 0.8892 0.5000 1
Cu3 Cu 0.8892 0.3892 0.5000 1
Cu4 Cu 0.3892 0.1108 0.5000 1
Bi1 Bi 0.3176 0.8176 0.0000 1
Bi2 Bi 0.8176 0.6824 0.0000 1
Bi3 Bi 0.6824 0.1824 0.0000 1
Bi4 Bi 0.1824 0.3176 0.0000 1
Ag1 Ag 0.0000 0.0000 0.0000 1
Ag2 Ag 0.5000 0.5000 0.0000 1